Compound: SbRuW4
Source: Alexandria via LeMat-Bulk
Functional: PBE-GGA
Structure: optimized geometry

Computed properties:
Total energy: -10.16 eV per atom
Raw formation energy: 0.71 eV per atom
M_tot: 0.0 μB/f.u.

abc: 7.4901 7.4901 7.4901
angles: 90.00 90.00 90.00
Space group F-43m (No. 216)
Symmetry-distinct sites (fractional):
Sb 0.0000 0.0000 0.0000 x4
Ru 0.2500 0.2500 0.2500 x4
W 0.1254 0.1254 0.6254 x16